No. 1
Computed, not measured: crystalline Cs3MgAl at its relaxed geometry at the PBEsol level of DFT.

Output
- Total magnetic moment: 0.36 μB per cell
- Raw total energy: -5.2 eV/cell
- Calculated volume: 74.77 Å³ per atom

Lattice parameters (Å, degrees): 7.2039 7.2039 7.2039 90.00 90.00 90.00
Positions (direct):
Cs 0.0000 0.5000 0.0000
Cs 0.0000 0.0000 0.5000
Cs 0.5000 0.0000 0.0000
Mg 0.0000 0.0000 0.0000
Al 0.5000 0.5000 0.5000

No. 2
Computed, not measured: crystalline CsNaMgAl2 at its relaxed geometry at the PBEsol level of DFT.

Output
- Total magnetic moment: 0.00 μB per cell
- Raw total energy: -9.9 eV/cell
- Calculated volume: 34.70 Å³ per atom

Lattice parameters (Å, degrees): 5.3937 5.3937 5.9647 90.00 90.00 90.00
Positions (direct):
Cs 0.5000 0.5000 0.5000
Na 0.0000 0.0000 0.5000
Mg 0.0000 0.0000 0.0000
Al 0.0000 0.5000 0.0000
Al 0.5000 0.0000 0.0000

No. 3
Computed, not measured: crystalline CsMg4Al9Si9O36 at its relaxed geometry at the PBEsol level of DFT.

Output
- Total magnetic moment: 0.00 μB per cell
- Raw total energy: -455.6 eV/cell
- Formation energy without anion corrections: -170.3 eV/f.u.
- Calculated volume: 13.37 Å³ per atom

Lattice parameters (Å, degrees): 9.4751 9.7695 9.8024 60.42 90.08 90.11
Positions (direct):
Cs 0.7807 0.0032 0.9776
Mg 0.2489 0.3332 0.3314
Mg 0.7500 0.3333 0.3308
Mg 0.2489 0.6646 0.6771
Mg 0.7507 0.6643 0.6774
Al 0.2492 0.5024 0.9983
Al 0.7496 0.5028 0.9982
Al 0.2495 0.4987 0.5025
Al 0.7507 0.4979 0.5033
Al 0.2491 0.9991 0.5020
Al 0.7506 0.9990 0.5046
Al 0.9995 0.3681 0.8929
Al 0.0006 0.8829 0.7382
Al 0.4995 0.7424 0.8915
Si 0.4994 0.2678 0.1047
Si 0.9987 0.1030 0.2697
Si 0.9991 0.6206 0.1155
Si 0.5003 0.6262 0.2695
Si 0.5004 0.1165 0.6193
Si 0.9995 0.7283 0.3833
Si 0.9984 0.2659 0.6179
Si 0.4999 0.8974 0.3695
Si 0.4999 0.3796 0.7320
O 0.9926 0.2073 0.0835
O 0.5019 0.0766 0.2175
O 0.3583 0.3442 0.1374
O 0.6410 0.3439 0.1374
O 0.1408 0.5120 0.1435
O 0.8572 0.5112 0.1447
O 0.8583 0.1355 0.3487
O 0.1413 0.1362 0.3459
O 0.5064 0.7025 0.0848
O 0.9965 0.6864 0.2410
O 0.3588 0.1437 0.5108
O 0.6410 0.1458 0.5088
O 0.3585 0.5168 0.3485
O 0.6395 0.5142 0.3517
O 0.5025 0.7688 0.3112
O 0.1416 0.3478 0.5106
O 0.8591 0.3513 0.5044
O 0.9923 0.0813 0.6819
O 0.9968 0.9170 0.3135
O 0.1422 0.6524 0.4876
O 0.8571 0.6525 0.4884
O 0.5024 0.2423 0.6839
O 0.3592 0.4865 0.6540
O 0.6418 0.4854 0.6555
O 0.3589 0.8696 0.4741
O 0.6405 0.8700 0.4751
O 0.9898 0.2993 0.7614
O 0.5018 0.3028 0.9224
O 0.8498 0.8549 0.6532
O 0.1495 0.8562 0.6512
O 0.1496 0.4806 0.8626
O 0.8515 0.4834 0.8630
O 0.3514 0.6560 0.8630
O 0.6456 0.6538 0.8623
O 0.5075 0.9444 0.7672
O 0.9940 0.7702 0.9424

No. 4
Computed, not measured: crystalline Cs2MnAl at its relaxed geometry at the PBEsol level of DFT.

Output
- Total magnetic moment: 3.11 μB per cell
- Raw total energy: -11.4 eV/cell
- Calculated volume: 41.02 Å³ per atom

Lattice parameters (Å, degrees): 6.1452 6.1452 6.1452 60.00 60.00 60.00
Positions (direct):
Cs 0.2500 0.2500 0.2500
Cs 0.7500 0.7500 0.7500
Mn 0.5000 0.5000 0.5000
Al 0.0000 0.0000 0.0000

No. 5
Computed, not measured: crystalline CsAl2SbMo at its relaxed geometry at the PBEsol level of DFT.

Output
- Total magnetic moment: 4.99 μB per cell
- Raw total energy: -17.2 eV/cell
- Formation energy without anion corrections: 8.3 eV/f.u.
- Calculated volume: 39.15 Å³ per atom

Lattice parameters (Å, degrees): 5.3860 5.3860 6.7478 90.00 90.00 90.00
Positions (direct):
Cs 0.0000 0.0000 0.5000
Sb 0.0000 0.0000 0.0000
Mo 0.5000 0.5000 0.5000
Al 0.0000 0.5000 0.0000
Al 0.5000 0.0000 0.0000

No. 6
Computed, not measured: crystalline CsAlN2O at its relaxed geometry at the PBEsol level of DFT.

Output
- Total magnetic moment: 0.00 μB per cell
- Raw total energy: -17.0 eV/cell
- Formation energy without anion corrections: 10.3 eV/f.u.
- Calculated volume: 16.00 Å³ per atom

Lattice parameters (Å, degrees): 4.2186 4.3548 4.3548 90.00 90.00 90.00
Positions (direct):
Cs 0.0000 0.0000 0.0000
Al 0.5000 0.5000 0.5000
O 0.5000 0.0000 0.0000
N 0.0000 0.0000 0.5000
N 0.0000 0.5000 0.0000